DFT (PBE) results for Cu2IrIBr after structural relaxation. Values from VASP.

Structure (Quantum ESPRESSO input):
```
&SYSTEM
  ibrav = 0, nat = 5, ntyp = 4
/
ATOMIC_SPECIES
I 126.90 I.upf
Ir 192.22 Ir.upf
Cu 63.55 Cu.upf
Br 79.90 Br.upf
CELL_PARAMETERS angstrom
5.0749 0.0000 0.0000
0.0000 4.6399 0.0000
0.0000 0.0000 5.0749
ATOMIC_POSITIONS crystal
I 0.5000 0.5000 0.5000
Ir 0.0000 0.0000 0.0000
Cu 0.0000 0.0000 0.5000
Cu 0.5000 0.0000 0.0000
Br 0.0000 0.5000 0.0000
```

Output
Energy relative to the elements, uncorrected ... 791 meV per atom
Total DFT energy (no corrections) ... -3.2647 eV per atom
Space group ... No. 123